The following is a DFT calculation (PBE-GGA) of LuZnSnRu after structural relaxation.

The structure belongs to space group F-43m (No. 216); the cell edges are 6.6351, 6.6351 and 6.6351 Å and the angles 90.00°, 90.00° and 90.00°. The asymmetric unit holds Lu at (0.0000, 0.0000, 0.0000), Zn at (0.2500, 0.2500, 0.2500), Sn at (0.2500, 0.2500, 0.7500) and Ru at (0.0000, 0.0000, 0.5000).

Its total magnetization is 0.000 μB per atom. For the formation enthalpy at 0 K, the calculation gives -0.262 eV/atom. For the total energy, the calculation gives -5.030 eV/atom.

The following is a DFT calculation (PBE-GGA) of CeEuPt4 after structural relaxation.

The structure belongs to space group F-43m (No. 216); the cell edges are 7.7782, 7.7782 and 7.7782 Å and the angles 90.00°, 90.00° and 90.00°. The asymmetric unit holds Ce at (0.0000, 0.0000, 0.0000), Eu at (0.2500, 0.2500, 0.2500) and Pt at (0.1249, 0.1249, 0.6249).

Its total magnetization is 1.266 μB per atom. For the formation enthalpy at 0 K, the calculation gives -1.017 eV/atom. For the total energy, the calculation gives -7.746 eV/atom.

The following is a DFT calculation (PBE-GGA) of BaGa4Pt6 after structural relaxation.

The structure belongs to space group P-6m2 (No. 187); the cell edges are 7.4382, 7.4382 and 4.0493 Å and the angles 90.00°, 90.00° and 120.00°. The asymmetric unit holds Ba at (0.0000, 0.0000, 0.0000), Ga at (0.3333, 0.6667, 0.0000), Ga at (0.4012, 0.2006, 0.5000), Pt at (0.2027, 0.4055, 0.5000) and Pt at (0.5334, 0.0668, 0.0000).

Its total magnetization is 0.000 μB per atom. For the formation enthalpy at 0 K, the calculation gives -0.689 eV/atom. For the total energy, the calculation gives -5.259 eV/atom.

What is the formula in the third record?
BaGa4Pt6